## AcCoO3 (PBE with a Hubbard U)

Data for a geometry-optimized AcCoO3 structure.

Values from the calculation:
Symmetry: No. 148
V: 137 Å³/cell
M_tot: 8.0 μB per cell
Total energy: -6.753 eV per atom

a = 5.5625 Å, b = 5.5625 Å, c = 6.0313 Å
α = 62.54°, β = 62.54°, γ = 60.00°
Closest atoms and distances in Å follow each position.
Positions (direct):
O (0.4959, 0.6683, 0.7713)  2 Co 2.02-2.07
O (0.5041, 0.3317, 0.2287)  2 Co 2.02-2.07
O (0.6683, 0.0645, 0.7713)  2 Co 2.02-2.07
O (0.3317, 0.9355, 0.2287)  2 Co 2.02-2.07
O (0.0645, 0.4959, 0.7713)  2 Co 2.02-2.07
O (0.9355, 0.5041, 0.2287)  2 Co 2.02-2.07
Co (0.3413, 0.3413, 0.9761)  6 O 2.02-2.07
Co (0.6587, 0.6587, 0.0239)  6 O 2.02-2.07
Ac (0.8769, 0.8769, 0.3692)  6 O 2.41-2.62
Ac (0.1231, 0.1231, 0.6308)  6 O 2.41-2.62